Here is crystalline YAsP2 at its relaxed geometry from Alexandria. Energies are from PBE-GGA.

a = 4.8133 Å, b = 4.8133 Å, c = 4.8133 Å
α = 60.00°, β = 60.00°, γ = 60.00°
Atoms (fractional coordinates):
As  0.5000  0.5000  0.5000
P  0.0000  0.0000  0.0000
P  0.7500  0.7500  0.7500
Y  0.2500  0.2500  0.2500

N(E_F) = 2.66 states/eV/cell
calculated density = 4.8 g/cm³
ΔE_f = -0.085 eV/f.u.
calculated total energy = -5.50 eV per atom